TcC3, relaxed, DFT PBE; SG = Pmm2, No. 25
1.0
2.634 0.000 0.000
0.000 5.413 0.000
0.000 0.000 3.147
C Tc
3 1
Direct
0.000 0.000 0.042
0.500 0.000 0.043
0.500 0.500 0.541
0.000 0.500 0.041

---

TcC, relaxed, DFT PBE; SG = P6/mmm, No. 191
1.0
-4.817 -1.948 -0.004
3.999 -2.955 -1.510
0.354 -0.880 2.657
Tc C
3 3
Direct
0.000 0.000 0.000
0.333 0.667 0.500
0.667 0.333 0.500
0.500 0.000 0.000
0.000 0.500 0.000
0.500 0.500 0.000

---

Tc3C, relaxed, DFT PBE; SG = Pm-3m, No. 221
1.0
-1.822 -0.089 3.576
3.211 -1.810 1.591
1.577 3.582 0.892
C Tc
1 3
Direct
0.000 0.000 0.000
0.500 0.000 0.000
0.000 0.500 0.000
0.000 0.000 0.500

---

TcC2, relaxed, DFT PBE; SG = Immm, No. 71
1.0
-0.981 -3.217 -1.321
2.905 -1.112 -1.838
-0.498 1.021 3.430
C Tc
2 1
Direct
0.380 0.380 0.000
0.620 0.620 0.000
0.000 0.000 0.000

---

In meV/atom, the energy relative to the lowest polymorph listed for this composition values for the records above are, in order, 434.1; 786.9; 954.2; 731.5.
In eV/f.u., the formation enthalpy at 0 K values for the records above are, in order, 4.86; 2.01; 3.86; 3.56.
In μB per atom, the total magnetization values for the records above are, in order, 0.000; 0.134; 0.000; 0.000.